NaPmDyHg: relaxed, GGA-PBE.

a b c (Å): 5.4078 5.4078 5.4078
angles (deg): 60.00 60.00 60.00
Closest atoms and distances in Å follow each position.
Positions (direct):
Pm: 0.2500 0.2500 0.2500  4 Hg 3.31, 4 Na 3.31
Dy: 0.7500 0.7500 0.7500  4 Hg 3.31, 4 Na 3.31
Na: 0.0000 0.0000 0.0000  4 Pm 3.31, 4 Dy 3.31
Hg: 0.5000 0.5000 0.5000  4 Dy 3.31, 4 Pm 3.31

- Formation enthalpy at 0 K: -0.055 eV/atom
- SG: F-43m (216)
- ρ: 7.89 Mg/m³